[1]
This record from Alexandria via LeMat-Bulk describes crystalline ScTlW2 at its relaxed geometry. The functional is PBE. Values from VASP.

For the raw total energy, the calculation gives -32.38 eV per cell.

```
&SYSTEM
  ibrav = 0, nat = 4, ntyp = 3
/
ATOMIC_SPECIES
Sc 44.96 Sc.upf
Tl 204.38 Tl.upf
W 183.84 W.upf
ATOMIC_POSITIONS crystal
Sc 0.0000 0.5000 0.5000
Tl 0.5000 0.5000 0.0000
W 0.0000 0.0000 0.0000
W 0.5000 0.0000 0.5000
CELL_PARAMETERS angstrom
-3.1060 -0.5281 4.2310
5.5729 0.2646 1.0527
0.2742 2.7121 0.9740
```

=====

[2]
This record from Alexandria via LeMat-Bulk describes crystalline Sc2TlW at its relaxed geometry. The functional is PBE. Values from VASP.

The calculation puts the energy relative to the lowest polymorph listed for this composition at 120.4 meV/atom. For the raw total energy, the calculation gives -27.29 eV per cell.

```
&SYSTEM
  ibrav = 0, nat = 4, ntyp = 3
/
ATOMIC_SPECIES
Sc 44.96 Sc.upf
Tl 204.38 Tl.upf
W 183.84 W.upf
ATOMIC_POSITIONS crystal
Sc 0.2500 0.2500 0.2500
Sc 0.7500 0.7500 0.7500
Tl 0.5000 0.5000 0.5000
W 0.0000 0.0000 0.0000
CELL_PARAMETERS angstrom
-0.4540 1.0612 4.7138
-4.2913 -0.5287 2.2039
-0.6433 -3.5579 3.2372
```

=====

[3]
This record from Alexandria via LeMat-Bulk describes crystalline ScTlW2 at its relaxed geometry. The functional is PBE. Values from VASP.

For the raw total energy, the calculation gives -32.62 eV per cell.

```
&SYSTEM
  ibrav = 0, nat = 4, ntyp = 3
/
ATOMIC_SPECIES
Sc 44.96 Sc.upf
Tl 204.38 Tl.upf
W 183.84 W.upf
ATOMIC_POSITIONS crystal
Sc 0.5000 0.2500 0.2500
Tl 0.5000 0.7500 0.7500
W 0.0000 0.9387 0.0282
W 0.0000 0.5613 0.4718
CELL_PARAMETERS angstrom
-2.9901 0.6131 3.8129
-0.8401 -2.7810 -0.2116
3.7571 -2.1083 3.2853
```

=====

[4]
This record from Alexandria via LeMat-Bulk describes crystalline ScTl2W at its relaxed geometry. The functional is PBE. Values from VASP.

The calculation puts the energy relative to the lowest polymorph listed for this composition at 12.7 meV/atom. For the raw total energy, the calculation gives -22.16 eV per cell.

```
&SYSTEM
  ibrav = 0, nat = 4, ntyp = 3
/
ATOMIC_SPECIES
Sc 44.96 Sc.upf
Tl 204.38 Tl.upf
W 183.84 W.upf
ATOMIC_POSITIONS crystal
Sc 0.7500 0.2500 0.5000
Tl 0.0000 0.0000 0.0000
Tl 0.5000 0.5000 0.0000
W 0.2500 0.7500 0.5000
CELL_PARAMETERS angstrom
-0.7588 -3.6997 3.7439
4.3468 -3.0453 0.3347
-0.6205 5.2810 0.0845
```

=====

[5]
This record from Alexandria via LeMat-Bulk describes crystalline Sc2TlW at its relaxed geometry. The functional is PBE. Values from VASP.

The calculation puts the energy relative to the lowest polymorph listed for this composition at 305.5 meV/atom. For the raw total energy, the calculation gives -26.55 eV per cell.

```
&SYSTEM
  ibrav = 0, nat = 4, ntyp = 3
/
ATOMIC_SPECIES
Sc 44.96 Sc.upf
Tl 204.38 Tl.upf
W 183.84 W.upf
ATOMIC_POSITIONS crystal
Sc 0.0000 0.0000 0.9784
Sc 0.5000 0.5000 0.2603
Tl 0.0000 0.0000 0.5111
W 0.5000 0.5000 0.7502
CELL_PARAMETERS angstrom
3.0038 0.0000 0.0000
0.0000 3.0038 0.0000
0.0000 0.0000 9.3559
```

=====

[6]
This record from Alexandria via LeMat-Bulk describes crystalline ScTlW2 at its relaxed geometry. The functional is PBE. Values from VASP.

For the raw total energy, the calculation gives -31.77 eV per cell.

```
&SYSTEM
  ibrav = 0, nat = 4, ntyp = 3
/
ATOMIC_SPECIES
Sc 44.96 Sc.upf
Tl 204.38 Tl.upf
W 183.84 W.upf
ATOMIC_POSITIONS crystal
Sc 0.5000 0.5000 0.2500
Tl 0.5000 0.5000 0.7500
W 0.0000 0.0000 0.0051
W 0.0000 0.0000 0.4949
CELL_PARAMETERS angstrom
2.8357 0.0000 0.0000
0.0000 2.8357 0.0000
0.0000 0.0000 9.4981
```

=====

no.,total magnetization (Bohr magnetons per cell),formation energy (eV per atom)
1,0.00,0.557
2,0.00,0.174
3,0.00,0.497
4,0.00,0.464
5,0.30,0.359
6,0.00,0.709